# PmTc2O6 | the Alexandria database | PBE | optimized geometry
data_PmTc2O6
_cell_length_a 10.184
_cell_length_b 3.933
_cell_length_c 7.136
_cell_angle_alpha 90.00
_cell_angle_beta 119.99
_cell_angle_gamma 90.00
_space_group_name_H-M_alt 'C 1 2/m 1'
_space_group_IT_number 12
loop_
_space_group_symop_operation_xyz
'x,y,z'
'-x,-y,-z'
'-x,y,-z'
'x,-y,z'
'x+1/2,y+1/2,z'
'-x+1/2,-y+1/2,-z'
'-x+1/2,y+1/2,-z'
'x+1/2,-y+1/2,z'
loop_
_atom_site_label
_atom_site_type_symbol
_atom_site_fract_x
_atom_site_fract_y
_atom_site_fract_z
Pm1 Pm 0.000 0.000 0.000
Tc1 Tc 0.178 0.000 0.603
O1 O 0.019 0.000 0.677
O2 O 0.156 0.500 0.110
O3 O 0.215 0.500 0.577
# Energy ... -7.992 eV per atom
# Spin magnetization ... 1.0 μB per formula unit
# Uncorrected formation energy ... -1.855 eV/atom
# Crystal system ... monoclinic